CaAsN3 | the Alexandria database | GGA-PBE | optimized geometry; magnetization = 4.0 μB/f.u.; raw formation energy = 1050.8 kJ/mol of formula units; V = 17.21 Å³ per atom
1.0
-1.756 -3.408 -2.190
4.042 -1.633 -0.698
-0.271 -2.282 3.770
N As Ca
3 1 1
direct
0.500 0.000 0.000
0.000 0.000 0.500
0.000 0.500 0.000
0.500 0.500 0.500
0.000 0.000 0.000

InGa3Cl | the Alexandria database | GGA-PBE | optimized geometry; magnetization = 0.0 μB/f.u.; raw formation energy = 115.4 kJ/mol of formula units; excess energy over the best structure of this formula in the dataset = 28.4 meV/atom; V = 30.07 Å³ per atom
1.0
-1.153 5.126 0.815
-5.180 -1.082 -0.522
-0.338 -0.907 5.228
Cl In Ga
1 1 3
direct
0.000 0.000 0.000
0.500 0.500 0.500
0.500 0.000 0.000
0.000 0.000 0.500
0.000 0.500 0.000

Pr3ZnPt8 | the Alexandria database | GGA-PBE | optimized geometry; formation enthalpy at 0 K = -0.9186 eV per atom; magnetization = 0.0 μB/f.u.; V = 19.48 Å³ per atom
1.0
-0.964 -4.647 2.768
-2.097 -4.362 -2.601
7.244 -5.846 -1.839
Pt Pr Zn
8 3 1
direct
0.942 0.438 0.182
0.939 0.939 0.683
0.689 0.689 0.933
0.190 0.190 0.431
0.438 0.438 0.182
0.939 0.439 0.683
0.439 0.939 0.683
0.438 0.942 0.182
0.508 0.508 0.476
0.378 0.378 0.865
0.990 0.990 0.030
0.860 0.860 0.420

Li4BiH | the Alexandria database | GGA-PBE | optimized geometry; magnetization = 0.0 μB/f.u.; uncorrected energy = -2.909 eV per atom; V = 16.91 Å³ per atom
1.0
-2.065 -4.400 0.563
2.816 -3.995 0.224
0.565 -2.538 5.132
H Li Bi
1 4 1
direct
0.988 0.011 0.498
0.948 0.262 0.169
0.051 0.578 0.581
0.421 0.948 0.415
0.737 0.050 0.828
0.364 0.635 0.998

PmTi2F8 | the Alexandria database | GGA-PBE | optimized geometry; magnetization = 1.0 μB/f.u.; raw formation energy = -3553.7 kJ/mol of formula units; V = 13.81 Å³ per atom
1.0
-2.431 -4.258 2.158
2.291 1.970 5.153
-2.447 3.960 3.743
Pm F Ti
1 8 2
direct
0.000 0.000 0.000
0.301 0.872 0.872
0.699 0.128 0.128
0.257 0.902 0.388
0.248 0.391 0.391
0.752 0.609 0.609
0.743 0.098 0.612
0.743 0.612 0.098
0.257 0.388 0.902
0.520 0.730 0.730
0.480 0.270 0.270

LiLuTiOs | the Alexandria database | GGA-PBE | optimized geometry; formation enthalpy at 0 K = -0.2347 eV per atom; magnetization = 0.0 μB/f.u.; V = 17.12 Å³ per atom
1.0
4.592 0.000 0.000
2.296 3.977 0.000
2.296 1.326 3.750
Os Li Ti Lu
1 1 1 1
direct
0.000 0.000 0.000
0.500 0.500 0.500
0.250 0.250 0.250
0.750 0.750 0.750

What did the third record say?
Pr3ZnPt8 | the Alexandria database | GGA-PBE | optimized geometry; formation enthalpy at 0 K = -0.9186 eV per atom; magnetization = 0.0 μB/f.u.; V = 19.48 Å³ per atom
1.0
-0.964 -4.647 2.768
-2.097 -4.362 -2.601
7.244 -5.846 -1.839
Pt Pr Zn
8 3 1
direct
0.942 0.438 0.182
0.939 0.939 0.683
0.689 0.689 0.933
0.190 0.190 0.431
0.438 0.438 0.182
0.939 0.439 0.683
0.439 0.939 0.683
0.438 0.942 0.182
0.508 0.508 0.476
0.378 0.378 0.865
0.990 0.990 0.030
0.860 0.860 0.420

Q: What is the V in the fourth record?
A: 16.91 Å³ per atom

Q: Look up the V of the second one.
A: 30.07 Å³ per atom

Q: Look up the magnetization of the third one.
A: 0.0 μB/f.u.